PmCu3Se3 | PBE-GGA | relaxed

POSCAR file:
```
PmCu3Se3
1.0
-3.040 1.949 6.073
-0.284 -4.524 5.419
4.802 1.433 6.054
Se Pm Cu
6 2 6
Direct
0.765 0.405 0.746
0.235 0.595 0.254
0.083 0.765 0.746
0.405 0.083 0.746
0.595 0.917 0.254
0.917 0.235 0.254
0.334 0.334 0.999
0.666 0.666 0.001
0.524 0.233 0.371
0.128 0.476 0.629
0.767 0.128 0.629
0.233 0.872 0.371
0.872 0.524 0.371
0.476 0.767 0.629
```

ΔE_f (raw) = -0.75 eV per atom
SG = R-3, No. 148
Crystal system = trigonal